# 1
First-principles (PBE-GGA) data for a relaxed structure of PaTl2Br6, as listed in OQMD.

## Properties
total energy: -3.92 eV per atom

a = 7.4667 Å, b = 7.4667 Å, c = 14.1454 Å
α = 90.00°, β = 90.00°, γ = 90.00°
Last column: nearest neighbours and their distance in Å.
Space group P4_2/mnm (No. 136)
One atom of each set of equivalent atoms:
Pa 0.0000 0.0000 0.0000  6 Br 2.81-2.82
Tl 0.0000 0.0000 0.3337  6 Br 3.30-3.41
Br 0.1839 0.1839 0.1447  1 Pa 2.82
Br 0.2338 0.2338 0.5000  1 Pa 2.81

---

# 2
First-principles (PBE-GGA) data for a relaxed structure of Sm3PbBr2, as listed in OQMD.

## Properties
total energy: -4.07 eV per atom

a = 7.1504 Å, b = 7.1504 Å, c = 4.1063 Å
α = 90.00°, β = 90.00°, γ = 120.00°
Last column: nearest neighbours and their distance in Å.
Space group P6/mmm (No. 191)
One atom of each set of equivalent atoms:
Sm 0.0000 0.5000 0.0000  4 Br 2.91
Pb 0.0000 0.0000 0.5000  2 Pb 4.11, 12 Sm 4.12, 6 Br 4.13
Br 0.3333 0.6667 0.5000  6 Sm 2.91

---

# 3
First-principles (PBE-GGA) data for a relaxed structure of Sm2PbBr6, as listed in OQMD.

## Properties
total energy: -3.94 eV per atom

a = 4.0687 Å, b = 4.0687 Å, c = 63.6874 Å
α = 90.00°, β = 90.00°, γ = 120.00°
Last column: nearest neighbours and their distance in Å.
Space group R-3m (No. 166, hexagonal axes)
One atom of each set of equivalent atoms:
Sm 0.0000 0.0000 0.0555  6 Br 2.96
Pb 0.0000 0.0000 0.5000  6 Br 3.02
Br 0.0000 0.0000 0.1966  3 Pb 3.02
Br 0.0000 0.0000 0.3062  3 Sm 2.96
Br 0.0000 0.0000 0.4171  3 Sm 2.96

---

# 4
First-principles (PBE-GGA) data for a relaxed structure of Pd2Br, as listed in OQMD.

## Properties
ΔE to the lowest computed polymorph: 311.5 meV/atom

a = 5.4119 Å, b = 5.4119 Å, c = 4.4182 Å
α = 90.00°, β = 90.00°, γ = 90.00°
Last column: nearest neighbours and their distance in Å.
Space group P4_2/mnm (No. 136)
One atom of each set of equivalent atoms:
Pd 0.1729 0.1729 0.0000  3 Br 2.50-2.58, 1 Pd 2.65
Br 0.0000 0.0000 0.5000  6 Pd 2.50-2.58

---

# 5
First-principles (PBE-GGA) data for a relaxed structure of PdBr, as listed in OQMD.

## Properties
total energy: -3.22 eV per atom

a = 3.5399 Å, b = 3.5399 Å, c = 3.7255 Å
α = 90.00°, β = 90.00°, γ = 120.00°
Last column: nearest neighbours and their distance in Å.
Space group P-6m2 (No. 187)
One atom of each set of equivalent atoms:
Pd 0.0000 0.0000 0.0000  6 Br 2.77
Br 0.3333 0.6667 0.5000  6 Pd 2.77

---

# 6
First-principles (PBE-GGA) data for a relaxed structure of PdBr, as listed in OQMD.

## Properties
total energy: -3.30 eV per atom

a = 5.8992 Å, b = 5.8992 Å, c = 5.8992 Å
α = 90.00°, β = 90.00°, γ = 90.00°
Last column: nearest neighbours and their distance in Å.
Space group F-43m (No. 216)
One atom of each set of equivalent atoms:
Pd 0.0000 0.0000 0.0000  4 Br 2.55
Br 0.2500 0.2500 0.2500  4 Pd 2.55

---

# 7
First-principles (PBE-GGA) data for a relaxed structure of Pd2Br, as listed in OQMD.

## Properties
ΔE to the lowest computed polymorph: 0.0 meV/atom

a = 3.5660 Å, b = 3.5660 Å, c = 5.1583 Å
α = 90.00°, β = 90.00°, γ = 120.00°
Last column: nearest neighbours and their distance in Å.
Space group P-3m1 (No. 164)
One atom of each set of equivalent atoms:
Pd 0.3333 0.6667 0.3411  3 Pd 2.63, 3 Br 2.71
Br 0.0000 0.0000 0.0000  6 Pd 2.71

---

# 8
First-principles (PBE-GGA) data for a relaxed structure of Pd2Br, as listed in OQMD.

## Properties
ΔE to the lowest computed polymorph: 299.9 meV/atom

a = 7.6688 Å, b = 7.6688 Å, c = 7.6688 Å
α = 90.00°, β = 90.00°, γ = 90.00°
Last column: nearest neighbours and their distance in Å.
Space group Fd-3m (No. 227, origin choice 2)
One atom of each set of equivalent atoms:
Pd 0.0000 0.0000 0.0000  6 Pd 2.71
Br 0.1250 0.1250 0.6250  12 Pd 3.18, 4 Br 3.32

---

# 9
First-principles (PBE-GGA) data for a relaxed structure of PdBr, as listed in OQMD.

## Properties
total energy: -3.38 eV per atom

a = 5.4714 Å, b = 5.4714 Å, c = 5.4714 Å
α = 90.00°, β = 90.00°, γ = 90.00°
Last column: nearest neighbours and their distance in Å.
Space group Fm-3m (No. 225)
One atom of each set of equivalent atoms:
Pd 0.0000 0.0000 0.0000  6 Br 2.74
Br 0.0000 0.0000 0.5000  6 Pd 2.74

---

# 10
First-principles (PBE-GGA) data for a relaxed structure of PdBr3, as listed in OQMD.

## Properties
total energy: -2.77 eV per atom

a = 6.5793 Å, b = 6.2281 Å, c = 12.6149 Å
α = 90.00°, β = 119.59°, γ = 90.00°
Last column: nearest neighbours and their distance in Å.
Space group P2_1/c (No. 14)
One atom of each set of equivalent atoms:
Pd 0.1629 0.0114 0.4118  6 Br 2.50-2.63
Br 0.1382 0.7332 0.0724  2 Pd 2.50-2.60
Br 0.1651 0.2115 0.7625  2 Pd 2.56-2.59
Br 0.4787 0.7119 0.9106  2 Pd 2.51-2.63

---

# 11
First-principles (PBE-GGA) data for a relaxed structure of Tl2PdPtBr6, as listed in OQMD.

## Properties
total energy: -3.05 eV per atom

a = 10.4595 Å, b = 10.4595 Å, c = 10.4595 Å
α = 90.00°, β = 90.00°, γ = 90.00°
Last column: nearest neighbours and their distance in Å.
Space group Fm-3m (No. 225)
One atom of each set of equivalent atoms:
Tl 0.2500 0.2500 0.2500  12 Br 3.70
Pd 0.0000 0.0000 0.0000  6 Br 2.65
Pt 0.0000 0.0000 0.5000  6 Br 2.58
Br 0.0000 0.0000 0.2530  1 Pt 2.58, 1 Pd 2.65

---

# 12
First-principles (PBE-GGA) data for a relaxed structure of Rb3PdBr6, as listed in OQMD.

## Properties
ΔE to the lowest computed polymorph: 29.9 meV/atom

a = 11.4754 Å, b = 11.4754 Å, c = 11.4754 Å
α = 90.00°, β = 90.00°, γ = 90.00°
Last column: nearest neighbours and their distance in Å.
Space group Fm-3m (No. 225)
One atom of each set of equivalent atoms:
Rb 0.0000 0.0000 0.0000  6 Br 3.18
Rb 0.2500 0.2500 0.2500  12 Br 4.07
Pd 0.0000 0.0000 0.5000  6 Br 2.56
Br 0.0000 0.0000 0.2767  1 Pd 2.56

---

What is the formula in the eighth record? Pd2Br